First-principles (PBE-GGA) data for a geometry-optimized Ta2NbZnAs structure, as listed in the Alexandria database.

Fermi-level density of states   6.16 states/eV per cell
Spin magnetization   0.00 Bohr magnetons per cell
ΔE_f   1.294 eV per atom
Total DFT energy (no corrections)   -33.23 eV for the cell shown

a b c (Å): 4.697 4.715 4.697
angles (deg): 90.00 90.00 90.00
Sites, in units of the cell vectors:
Ta 0.000 0.000 0.500
As 0.500 0.500 0.500
Zn 0.000 0.000 0.000
Nb 0.000 0.500 0.000
Ta 0.500 0.000 0.000